Entry 1:
Density functional theory data (PBE) for a geometry-optimized CuSe3 structure.

Results
The volume comes out at 19.93 Å³ per atom. As for the space-group type: P4/mmm. The density of states at the Fermi level comes out at 3.36 states/eV per cell. As for the total energy: -3.537 eV/atom. For the uncorrected formation energy, the calculation gives 0.101 eV per atom.

Cell: 3.801 3.801 5.516 Å, 90.00 90.00 90.00°
Element x y z (fractional)
Cu 0.000 0.000 0.000
Se 0.000 0.000 0.500
Se 0.500 0.500 0.000
Se 0.500 0.500 0.500

Entry 2:
Density functional theory data (PBE) for a geometry-optimized CuSe2 structure.

Results
The volume comes out at 21.29 Å³ per atom. As for the space-group type: P6_3/mmc. The density of states at the Fermi level comes out at 2.19 states/eV per cell. As for the total energy: -3.771 eV/atom. For the uncorrected formation energy, the calculation gives -0.083 eV per atom.

Cell: 3.889 3.889 9.753 Å, 90.00 90.00 120.00°
Element x y z (fractional)
Cu 0.000 0.000 0.000
Cu 0.000 0.000 0.500
Se 0.333 0.667 0.128
Se 0.333 0.667 0.372
Se 0.667 0.333 0.628
Se 0.667 0.333 0.872

Entry 3:
Density functional theory data (PBE) for a geometry-optimized CuSe structure.

Results
The volume comes out at 20.64 Å³ per atom. As for the space-group type: Cmcm. The density of states at the Fermi level comes out at 7.96 states/eV per cell. As for the total energy: -3.859 eV/atom. For the uncorrected formation energy, the calculation gives -0.068 eV per atom.

Cell: 4.043 4.043 17.646 Å, 90.00 90.00 120.85°
Element x y z (fractional)
Cu 0.032 0.968 0.750
Cu 0.281 0.719 0.051
Cu 0.281 0.719 0.449
Cu 0.719 0.281 0.551
Cu 0.719 0.281 0.949
Cu 0.968 0.032 0.250
Se 0.362 0.638 0.750
Se 0.384 0.616 0.588
Se 0.384 0.616 0.912
Se 0.616 0.384 0.088
Se 0.616 0.384 0.412
Se 0.638 0.362 0.250

Entry 4:
Density functional theory data (PBE) for a geometry-optimized Cu3Se structure.

Results
The volume comes out at 14.23 Å³ per atom. As for the space-group type: Fm-3m. The density of states at the Fermi level comes out at 3.50 states/eV per cell. As for the total energy: -3.721 eV/atom. For the uncorrected formation energy, the calculation gives 0.222 eV per atom.

Cell: 4.318 4.318 4.318 Å, 60.00 60.00 60.00°
Element x y z (fractional)
Cu 0.000 0.000 0.000
Cu 0.250 0.250 0.250
Cu 0.750 0.750 0.750
Se 0.500 0.500 0.500

Entry 5:
Density functional theory data (PBE) for a geometry-optimized CuSe3 structure.

Results
The volume comes out at 19.56 Å³ per atom. As for the space-group type: R-3m. The density of states at the Fermi level comes out at 2.46 states/eV per cell. As for the total energy: -3.536 eV/atom. For the uncorrected formation energy, the calculation gives 0.101 eV per atom.

Cell: 6.673 6.673 6.673 Å, 32.95 32.95 32.95°
Element x y z (fractional)
Cu 0.000 0.000 0.000
Se 0.263 0.263 0.263
Se 0.500 0.500 0.500
Se 0.737 0.737 0.737

Entry 6:
Density functional theory data (PBE) for a geometry-optimized Cu5Se3 structure.

Results
The volume comes out at 16.12 Å³ per atom. Its polymorph energy (0 for the lowest one) is 0.142 eV per atom. As for the space-group type: P6_3/mcm. The density of states at the Fermi level comes out at 8.50 states/eV per cell. As for the total energy: -3.765 eV/atom. For the uncorrected formation energy, the calculation gives 0.102 eV per atom.

Cell: 7.771 7.771 4.930 Å, 90.00 90.00 120.00°
Element x y z (fractional)
Cu 0.000 0.191 0.250
Cu 0.000 0.809 0.750
Cu 0.191 0.000 0.250
Cu 0.191 0.191 0.750
Cu 0.333 0.667 0.000
Cu 0.333 0.667 0.500
Cu 0.667 0.333 0.000
Cu 0.667 0.333 0.500
Cu 0.809 0.000 0.750
Cu 0.809 0.809 0.250
Se 0.000 0.363 0.750
Se 0.000 0.637 0.250
Se 0.363 0.000 0.750
Se 0.363 0.363 0.250
Se 0.637 0.000 0.250
Se 0.637 0.637 0.750

Entry 7:
Density functional theory data (PBE) for a geometry-optimized CuSe3 structure.

Results
The volume comes out at 19.63 Å³ per atom. As for the space-group type: I4/mmm. The density of states at the Fermi level comes out at 2.09 states/eV per cell. As for the total energy: -3.549 eV/atom. For the uncorrected formation energy, the calculation gives 0.088 eV per atom.

Cell: 5.940 5.940 5.940 Å, 142.10 142.10 54.68°
Element x y z (fractional)
Cu 0.000 0.000 0.000
Se 0.239 0.239 0.000
Se 0.500 0.500 0.000
Se 0.761 0.761 0.000

Entry 8:
Density functional theory data (PBE) for a geometry-optimized CuSe structure.

Results
The volume comes out at 19.68 Å³ per atom. As for the space-group type: Cm. The density of states at the Fermi level comes out at 3.62 states/eV per cell. As for the total energy: -3.853 eV/atom. For the uncorrected formation energy, the calculation gives -0.062 eV per atom.

Cell: 5.940 5.940 6.638 Å, 121.74 121.74 37.32°
Element x y z (fractional)
Cu 0.000 0.000 0.000
Cu 0.540 0.540 0.445
Cu 0.853 0.853 0.190
Se 0.032 0.032 0.648
Se 0.317 0.317 0.913
Se 0.650 0.650 0.224

Entry 9:
Density functional theory data (PBE) for a geometry-optimized CuSe structure.

Results
The volume comes out at 20.16 Å³ per atom. As for the space-group type: Fddd. The density of states at the Fermi level comes out at 6.97 states/eV per cell. As for the total energy: -3.806 eV/atom. For the uncorrected formation energy, the calculation gives -0.016 eV per atom.

Cell: 6.709 6.551 5.483 Å, 67.09 64.08 48.83°
Element x y z (fractional)
Cu 0.001 0.001 0.249
Cu 0.249 0.249 0.001
Cu 0.751 0.751 0.999
Cu 0.999 0.999 0.751
Se 0.146 0.604 0.604
Se 0.396 0.854 0.854
Se 0.604 0.146 0.146
Se 0.854 0.396 0.396

Entry 10:
Density functional theory data (PBE) for a geometry-optimized CuSe2 structure.

Results
The volume comes out at 22.30 Å³ per atom. As for the space-group type: Cmmm. The density of states at the Fermi level comes out at 3.39 states/eV per cell. As for the total energy: -3.579 eV/atom. For the uncorrected formation energy, the calculation gives 0.109 eV per atom.

Cell: 8.082 8.082 3.820 Å, 90.00 90.00 147.57°
Element x y z (fractional)
Cu 0.112 0.888 0.000
Cu 0.888 0.112 0.000
Se 0.000 0.000 0.500
Se 0.212 0.788 0.500
Se 0.500 0.500 0.000
Se 0.788 0.212 0.500

Entry 11:
Density functional theory data (PBE) for a geometry-optimized CuSe3 structure.

Results
The volume comes out at 19.65 Å³ per atom. As for the space-group type: Im-3m. The density of states at the Fermi level comes out at 3.48 states/eV per cell. As for the total energy: -3.553 eV/atom. For the uncorrected formation energy, the calculation gives 0.085 eV per atom.

Cell: 4.674 4.674 4.674 Å, 109.47 109.47 109.47°
Element x y z (fractional)
Cu 0.000 0.000 0.000
Se 0.000 0.500 0.500
Se 0.500 0.000 0.500
Se 0.500 0.500 0.000

Entry 12:
Density functional theory data (PBE) for a geometry-optimized CuSe2 structure.

Results
The volume comes out at 20.12 Å³ per atom. As for the space-group type: I4/mmm. The density of states at the Fermi level comes out at 1.94 states/eV per cell. As for the total energy: -3.401 eV/atom. For the uncorrected formation energy, the calculation gives 0.287 eV per atom.

Cell: 5.589 5.589 5.589 Å, 143.87 143.87 52.03°
Element x y z (fractional)
Cu 0.000 0.000 0.000
Se 0.379 0.379 0.000
Se 0.621 0.621 0.000

> What is the formula in the second record?

CuSe2